Density functional theory data (PBE) for a relaxed structure of RbCdSnSb.

CIF file:
```
data_RbCdSnSb
_cell_length_a 4.054
_cell_length_b 4.054
_cell_length_c 7.971
_cell_angle_alpha 90.00
_cell_angle_beta 90.00
_cell_angle_gamma 90.00
_symmetry_space_group_name_H-M 'P 4 m m'
_symmetry_Int_Tables_number 99
_symmetry_space_group_name_Hall 'P 4 -2'
loop_
_atom_site_label
_atom_site_fract_x
_atom_site_fract_y
_atom_site_fract_z
_atom_site_occupancy
Rb1 0.000 0.000 0.000 1
Cd1 0.000 0.000 0.489 1
Sn1 0.500 0.500 0.674 1
Sb1 0.500 0.500 0.316 1
```

The calculation puts the uncorrected formation energy at -117.0 meV per atom. The calculation puts the density of states at the Fermi level at 1.134 states/eV/f.u.